# 1
# AlCo2Os (GGA-PBE, optimized geometry)
# DFT total energy in eV per atom: -7.4684
# Volume in A^3/atom: 12.11
data_AlCo2Os
_chemical_formula_sum 'Al1 Co2 Os1'
_cell_length_a 2.6678
_cell_length_b 2.6678
_cell_length_c 6.8075
_cell_angle_alpha 90.00
_cell_angle_beta 90.00
_cell_angle_gamma 90.00
_space_group_name_H-M_alt 'P 1'
_space_group_IT_number 1
loop_
_space_group_symop_operation_xyz
'x,y,z'
loop_
_atom_site_label
_atom_site_type_symbol
_atom_site_fract_x
_atom_site_fract_y
_atom_site_fract_z
Os1 Os 0.5000 0.5000 0.2500
Co1 Co 0.0000 0.0000 0.5042
Co2 Co 0.0000 0.0000 0.9958
Al1 Al 0.5000 0.5000 0.7500



# 2
# AlCoOs2 (GGA-PBE, optimized geometry)
# DFT total energy in eV per atom: -8.2777
# Volume in A^3/atom: 13.31
data_AlCoOs2
_chemical_formula_sum 'Al1 Co1 Os2'
_cell_length_a 4.5280
_cell_length_b 4.5280
_cell_length_c 2.7143
_cell_angle_alpha 90.00
_cell_angle_beta 90.00
_cell_angle_gamma 106.90
_space_group_name_H-M_alt 'P 1'
_space_group_IT_number 1
loop_
_space_group_symop_operation_xyz
'x,y,z'
loop_
_atom_site_label
_atom_site_type_symbol
_atom_site_fract_x
_atom_site_fract_y
_atom_site_fract_z
Al1 Al 0.5000 0.0000 0.5000
Co1 Co 0.0000 0.5000 0.5000
Os1 Os 0.5000 0.5000 0.0000
Os2 Os 0.0000 0.0000 0.0000



# 3
# Al8Co2Os (GGA-PBE, optimized geometry)
# DFT total energy in eV per atom: -5.4022
# Volume in A^3/atom: 14.13
data_Al8Co2Os
_chemical_formula_sum 'Al8 Co2 Os1'
_cell_length_a 3.9929
_cell_length_b 6.9872
_cell_length_c 6.8712
_cell_angle_alpha 120.56
_cell_angle_beta 106.89
_cell_angle_gamma 90.00
_space_group_name_H-M_alt 'P 1'
_space_group_IT_number 1
loop_
_space_group_symop_operation_xyz
'x,y,z'
loop_
_atom_site_label
_atom_site_type_symbol
_atom_site_fract_x
_atom_site_fract_y
_atom_site_fract_z
Al1 Al 0.6615 0.4461 0.3230
Al2 Al 0.1461 0.1461 0.2921
Al3 Al 0.8539 0.8539 0.7079
Al4 Al 0.3385 0.1231 0.6770
Al5 Al 0.0000 0.6867 0.0000
Al6 Al 0.3385 0.5539 0.6770
Al7 Al 0.0000 0.3133 0.0000
Al8 Al 0.6615 0.8769 0.3230
Co1 Co 0.8059 0.3059 0.6118
Co2 Co 0.1941 0.6941 0.3882
Os1 Os 0.5000 0.0000 0.0000



# 4
# AlCoOs2 (GGA-PBE, optimized geometry)
# DFT total energy in eV per atom: -8.2458
# Volume in A^3/atom: 13.36
data_AlCoOs2
_chemical_formula_sum 'Al1 Co1 Os2'
_cell_length_a 3.8091
_cell_length_b 3.7455
_cell_length_c 3.7455
_cell_angle_alpha 90.00
_cell_angle_beta 90.00
_cell_angle_gamma 90.00
_space_group_name_H-M_alt 'P 1'
_space_group_IT_number 1
loop_
_space_group_symop_operation_xyz
'x,y,z'
loop_
_atom_site_label
_atom_site_type_symbol
_atom_site_fract_x
_atom_site_fract_y
_atom_site_fract_z
Co1 Co 0.5000 0.0000 0.5000
Os1 Os 0.0000 0.0000 0.0000
Os2 Os 0.0000 0.5000 0.5000
Al1 Al 0.5000 0.5000 0.0000



DFT total energy of number 1 (AlCo2Os)? -7.4684 eV per atom